Model w:
Below is a relaxed RbCuMo3 crystal, with properties calculated at the PBE level.

Geometry as CIF:
```
data_RbCuMo3
_chemical_formula_sum 'Rb1 Cu1 Mo3'
_cell_length_a 4.822
_cell_length_b 4.822
_cell_length_c 4.822
_cell_angle_alpha 90.00
_cell_angle_beta 90.00
_cell_angle_gamma 90.00
_space_group_name_H-M_alt 'P m -3 m'
_space_group_IT_number 221
_space_group_name_Hall '-P 4 2 3'
loop_
_atom_site_label
_atom_site_fract_x
_atom_site_fract_y
_atom_site_fract_z
_atom_site_occupancy
Rb1 0.000 0.000 0.000 1
Cu1 0.500 0.500 0.500 1
Mo1 0.000 0.500 0.500 1
```

Model x:
Below is a relaxed RbCuMo3 crystal, with properties calculated at the PBE level.

Geometry as CIF:
```
data_RbCuMo3
_chemical_formula_sum 'Rb1 Cu1 Mo3'
_cell_length_a 4.642
_cell_length_b 4.642
_cell_length_c 4.642
_cell_angle_alpha 90.00
_cell_angle_beta 90.00
_cell_angle_gamma 90.00
_space_group_name_H-M_alt 'P m -3 m'
_space_group_IT_number 221
_space_group_name_Hall '-P 4 2 3'
loop_
_atom_site_label
_atom_site_fract_x
_atom_site_fract_y
_atom_site_fract_z
_atom_site_occupancy
Rb1 0.000 0.000 0.000 1
Cu1 0.500 0.500 0.500 1
Mo1 0.000 0.000 0.500 1
```

Energies, relative to the best one, in meV/atom: model w 0; model x 1190.

Model w:
Below is a relaxed CuReMo crystal, with properties calculated at the PBE level.

Geometry as CIF:
```
data_CuReMo
_chemical_formula_sum 'Cu1 Re1 Mo1'
_cell_length_a 4.3870
_cell_length_b 4.3870
_cell_length_c 2.6177
_cell_angle_alpha 90.00
_cell_angle_beta 90.00
_cell_angle_gamma 120.00
_space_group_name_H-M_alt 'P 3 m 1'
_space_group_IT_number 156
_space_group_name_Hall 'P 3 -2"'
loop_
_atom_site_label
_atom_site_fract_x
_atom_site_fract_y
_atom_site_fract_z
_atom_site_occupancy
Cu1 0.0000 0.0000 0.0000 1
Re1 0.3333 0.6667 0.6493 1
Mo1 0.6667 0.3333 0.3659 1
```

Model x:
Below is a relaxed CuReMo crystal, with properties calculated at the PBE level.

Geometry as CIF:
```
data_CuReMo
_chemical_formula_sum 'Cu2 Re2 Mo2'
_cell_length_a 3.249
_cell_length_b 3.249
_cell_length_c 8.244
_cell_angle_alpha 90.00
_cell_angle_beta 90.00
_cell_angle_gamma 90.00
_space_group_name_H-M_alt 'I 4 m m'
_space_group_IT_number 107
_space_group_name_Hall 'I 4 -2'
loop_
_atom_site_label
_atom_site_fract_x
_atom_site_fract_y
_atom_site_fract_z
_atom_site_occupancy
Cu1 0.000 0.000 0.000 1
Re1 0.000 0.000 0.669 1
Mo1 0.000 0.000 0.330 1
```

Model y:
Below is a relaxed CuReMo crystal, with properties calculated at the PBE level.

Geometry as CIF:
```
data_CuReMo
_chemical_formula_sum 'Cu4 Re4 Mo4'
_cell_length_a 5.936
_cell_length_b 5.936
_cell_length_c 5.936
_cell_angle_alpha 90.00
_cell_angle_beta 90.00
_cell_angle_gamma 90.00
_space_group_name_H-M_alt 'F -4 3 m'
_space_group_IT_number 216
_space_group_name_Hall 'F -4 2 3'
loop_
_atom_site_label
_atom_site_fract_x
_atom_site_fract_y
_atom_site_fract_z
_atom_site_occupancy
Cu1 0.000 0.000 0.000 1
Re1 0.250 0.250 0.250 1
Mo1 0.000 0.000 0.500 1
```

Energies, relative to the best one, in meV/atom: model w 0; model x 76; model y 691.

Model w:
Below is a relaxed CuReMo crystal, with properties calculated at the PBE level.

Geometry as CIF:
```
data_CuReMo
_chemical_formula_sum 'Cu2 Re2 Mo2'
_cell_length_a 2.646
_cell_length_b 2.646
_cell_length_c 12.394
_cell_angle_alpha 90.00
_cell_angle_beta 90.00
_cell_angle_gamma 90.00
_space_group_name_H-M_alt 'I 4 m m'
_space_group_IT_number 107
_space_group_name_Hall 'I 4 -2'
loop_
_atom_site_label
_atom_site_fract_x
_atom_site_fract_y
_atom_site_fract_z
_atom_site_occupancy
Cu1 0.000 0.000 0.000 1
Re1 0.000 0.000 0.342 1
Mo1 0.000 0.000 0.663 1
```

Model x:
Below is a relaxed CuReMo crystal, with properties calculated at the PBE level.

Geometry as CIF:
```
data_CuReMo
_chemical_formula_sum 'Cu4 Re4 Mo4'
_cell_length_a 3.137
_cell_length_b 4.316
_cell_length_c 12.979
_cell_angle_alpha 90.00
_cell_angle_beta 90.00
_cell_angle_gamma 90.00
_space_group_name_H-M_alt 'F m m 2'
_space_group_IT_number 42
_space_group_name_Hall 'F 2 -2'
loop_
_atom_site_label
_atom_site_fract_x
_atom_site_fract_y
_atom_site_fract_z
_atom_site_occupancy
Cu1 0.000 0.000 0.000 1
Re1 0.000 0.000 0.665 1
Mo1 0.000 0.000 0.333 1
```

Model y:
Below is a relaxed CuReMo crystal, with properties calculated at the PBE level.

Geometry as CIF:
```
data_CuReMo
_chemical_formula_sum 'Cu4 Re4 Mo4'
_cell_length_a 2.719
_cell_length_b 14.425
_cell_length_c 4.401
_cell_angle_alpha 90.00
_cell_angle_beta 90.00
_cell_angle_gamma 90.00
_space_group_name_H-M_alt 'C m c m'
_space_group_IT_number 63
_space_group_name_Hall '-C 2c 2'
loop_
_atom_site_label
_atom_site_fract_x
_atom_site_fract_y
_atom_site_fract_z
_atom_site_occupancy
Cu1 0.000 0.052 0.250 1
Re1 0.000 0.286 0.750 1
Mo1 0.000 0.390 0.250 1
```

Model z:
Below is a relaxed CuReMo crystal, with properties calculated at the PBE level.

Geometry as CIF:
```
data_CuReMo
_chemical_formula_sum 'Cu2 Re2 Mo2'
_cell_length_a 2.606
_cell_length_b 4.109
_cell_length_c 8.111
_cell_angle_alpha 90.00
_cell_angle_beta 90.00
_cell_angle_gamma 90.00
_space_group_name_H-M_alt 'I m m 2'
_space_group_IT_number 44
_space_group_name_Hall 'I 2 -2'
loop_
_atom_site_label
_atom_site_fract_x
_atom_site_fract_y
_atom_site_fract_z
_atom_site_occupancy
Cu1 0.000 0.000 0.000 1
Re1 0.000 0.000 0.339 1
Mo1 0.000 0.000 0.666 1
```

Energies, relative to the best one, in meV/atom: model w 175; model x 105; model y 70; model z 0.

Model w:
Below is a relaxed CuReMo2 crystal, with properties calculated at the PBE level.

Geometry as CIF:
```
data_CuReMo2
_chemical_formula_sum 'Cu1 Re1 Mo2'
_cell_length_a 2.639
_cell_length_b 4.326
_cell_length_c 5.373
_cell_angle_alpha 90.00
_cell_angle_beta 103.75
_cell_angle_gamma 90.00
_space_group_name_H-M_alt 'P 1 2/m 1'
_space_group_IT_number 10
_space_group_name_Hall '-P 2y'
loop_
_atom_site_label
_atom_site_fract_x
_atom_site_fract_y
_atom_site_fract_z
_atom_site_occupancy
Cu1 0.000 0.000 0.000 1
Re1 0.500 0.000 0.500 1
Mo1 0.267 0.500 0.753 1
```

Model x:
Below is a relaxed CuReMo2 crystal, with properties calculated at the PBE level.

Geometry as CIF:
```
data_CuReMo2
_chemical_formula_sum 'Cu1 Re1 Mo2'
_cell_length_a 2.777
_cell_length_b 3.971
_cell_length_c 5.398
_cell_angle_alpha 90.00
_cell_angle_beta 90.00
_cell_angle_gamma 90.00
_space_group_name_H-M_alt 'P m m m'
_space_group_IT_number 47
_space_group_name_Hall '-P 2 2'
loop_
_atom_site_label
_atom_site_fract_x
_atom_site_fract_y
_atom_site_fract_z
_atom_site_occupancy
Cu1 0.000 0.000 0.000 1
Re1 0.000 0.000 0.500 1
Mo1 0.500 0.500 0.254 1
```

Energies, relative to the best one, in meV/atom: model w 0; model x 27.

Model w:
Below is a relaxed CuReMo2 crystal, with properties calculated at the PBE level.

Geometry as CIF:
```
data_CuReMo2
_chemical_formula_sum 'Cu4 Re4 Mo8'
_cell_length_a 7.029
_cell_length_b 7.029
_cell_length_c 5.294
_cell_angle_alpha 90.00
_cell_angle_beta 90.00
_cell_angle_gamma 90.00
_space_group_name_H-M_alt 'I -4 2 d'
_space_group_IT_number 122
_space_group_name_Hall 'I -4 2bw'
loop_
_atom_site_label
_atom_site_fract_x
_atom_site_fract_y
_atom_site_fract_z
_atom_site_occupancy
Cu1 0.000 0.000 0.000 1
Re1 0.000 0.000 0.500 1
Mo1 0.233 0.250 0.625 1
```

Model x:
Below is a relaxed CuReMo2 crystal, with properties calculated at the PBE level.

Geometry as CIF:
```
data_CuReMo2
_chemical_formula_sum 'Cu1 Re1 Mo2'
_cell_length_a 2.592
_cell_length_b 4.192
_cell_length_c 5.521
_cell_angle_alpha 90.00
_cell_angle_beta 90.00
_cell_angle_gamma 90.00
_space_group_name_H-M_alt 'P m m 2'
_space_group_IT_number 25
_space_group_name_Hall 'P 2 -2'
loop_
_atom_site_label
_atom_site_fract_x
_atom_site_fract_y
_atom_site_fract_z
_atom_site_occupancy
Cu1 0.000 0.000 0.000 1
Re1 0.500 0.500 0.761 1
Mo1 0.000 0.000 0.507 1
Mo2 0.500 0.500 0.235 1
```

Model y:
Below is a relaxed CuReMo2 crystal, with properties calculated at the PBE level.

Geometry as CIF:
```
data_CuReMo2
_chemical_formula_sum 'Cu2 Re2 Mo4'
_cell_length_a 3.192
_cell_length_b 4.291
_cell_length_c 8.713
_cell_angle_alpha 90.00
_cell_angle_beta 90.00
_cell_angle_gamma 90.00
_space_group_name_H-M_alt 'C m m m'
_space_group_IT_number 65
_space_group_name_Hall '-C 2 2'
loop_
_atom_site_label
_atom_site_fract_x
_atom_site_fract_y
_atom_site_fract_z
_atom_site_occupancy
Cu1 0.000 0.000 0.000 1
Re1 0.000 0.000 0.500 1
Mo1 0.000 0.500 0.246 1
```

Energies, relative to the best one, in meV/atom: model w 624; model x 81; model y 0.

Model w:
Below is a relaxed CuMo3Rh crystal, with properties calculated at the PBE level.

Geometry as CIF:
```
data_CuMo3Rh
_chemical_formula_sum 'Cu1 Mo3 Rh1'
_cell_length_a 4.455
_cell_length_b 4.455
_cell_length_c 4.455
_cell_angle_alpha 90.00
_cell_angle_beta 90.00
_cell_angle_gamma 90.00
_space_group_name_H-M_alt 'P m -3 m'
_space_group_IT_number 221
_space_group_name_Hall '-P 4 2 3'
loop_
_atom_site_label
_atom_site_fract_x
_atom_site_fract_y
_atom_site_fract_z
_atom_site_occupancy
Cu1 0.000 0.000 0.000 1
Mo1 0.000 0.000 0.500 1
Rh1 0.500 0.500 0.500 1
```

Model x:
Below is a relaxed CuMo3Rh crystal, with properties calculated at the PBE level.

Geometry as CIF:
```
data_CuMo3Rh
_chemical_formula_sum 'Cu1 Mo3 Rh1'
_cell_length_a 4.685
_cell_length_b 4.685
_cell_length_c 4.685
_cell_angle_alpha 90.00
_cell_angle_beta 90.00
_cell_angle_gamma 90.00
_space_group_name_H-M_alt 'P m -3 m'
_space_group_IT_number 221
_space_group_name_Hall '-P 4 2 3'
loop_
_atom_site_label
_atom_site_fract_x
_atom_site_fract_y
_atom_site_fract_z
_atom_site_occupancy
Cu1 0.000 0.000 0.000 1
Mo1 0.000 0.500 0.500 1
Rh1 0.500 0.500 0.500 1
```

Energies, relative to the best one, in meV/atom: model w 0; model x 222.

Model w:
Below is a relaxed CuMoRh crystal, with properties calculated at the PBE level.

Geometry as CIF:
```
data_CuMoRh
_chemical_formula_sum 'Cu4 Mo4 Rh4'
_cell_length_a 2.950
_cell_length_b 4.433
_cell_length_c 13.246
_cell_angle_alpha 90.00
_cell_angle_beta 90.00
_cell_angle_gamma 90.00
_space_group_name_H-M_alt 'F m m 2'
_space_group_IT_number 42
_space_group_name_Hall 'F 2 -2'
loop_
_atom_site_label
_atom_site_fract_x
_atom_site_fract_y
_atom_site_fract_z
_atom_site_occupancy
Cu1 0.000 0.000 0.000 1
Mo1 0.000 0.000 0.668 1
Rh1 0.000 0.000 0.334 1
```

Model x:
Below is a relaxed CuMoRh crystal, with properties calculated at the PBE level.

Geometry as CIF:
```
data_CuMoRh
_chemical_formula_sum 'Cu2 Mo2 Rh2'
_cell_length_a 2.746
_cell_length_b 3.820
_cell_length_c 7.999
_cell_angle_alpha 90.00
_cell_angle_beta 90.00
_cell_angle_gamma 90.00
_space_group_name_H-M_alt 'I m m 2'
_space_group_IT_number 44
_space_group_name_Hall 'I 2 -2'
loop_
_atom_site_label
_atom_site_fract_x
_atom_site_fract_y
_atom_site_fract_z
_atom_site_occupancy
Cu1 0.000 0.000 0.000 1
Mo1 0.000 0.000 0.666 1
Rh1 0.000 0.000 0.335 1
```

Energies, relative to the best one, in meV/atom: model w 225; model x 0.

Model w:
Below is a relaxed CuMoRh4 crystal, with properties calculated at the PBE level.

Geometry as CIF:
```
data_CuMoRh4
_chemical_formula_sum 'Cu2 Mo2 Rh8'
_cell_length_a 9.109
_cell_length_b 2.732
_cell_length_c 7.596
_cell_angle_alpha 90.00
_cell_angle_beta 115.22
_cell_angle_gamma 90.00
_space_group_name_H-M_alt 'C 1 2/m 1'
_space_group_IT_number 12
_space_group_name_Hall '-C 2y'
loop_
_atom_site_label
_atom_site_fract_x
_atom_site_fract_y
_atom_site_fract_z
_atom_site_occupancy
Cu1 0.000 0.000 0.000 1
Mo1 0.000 0.000 0.500 1
Rh1 0.163 0.500 0.833 1
Rh2 0.168 0.500 0.335 1
```

Model x:
Below is a relaxed CuMoRh4 crystal, with properties calculated at the PBE level.

Geometry as CIF:
```
data_CuMoRh4
_chemical_formula_sum 'Cu4 Mo4 Rh16'
_cell_length_a 7.139
_cell_length_b 7.139
_cell_length_c 7.139
_cell_angle_alpha 90.00
_cell_angle_beta 90.00
_cell_angle_gamma 90.00
_space_group_name_H-M_alt 'F -4 3 m'
_space_group_IT_number 216
_space_group_name_Hall 'F -4 2 3'
loop_
_atom_site_label
_atom_site_fract_x
_atom_site_fract_y
_atom_site_fract_z
_atom_site_occupancy
Cu1 0.000 0.000 0.000 1
Mo1 0.250 0.250 0.750 1
Rh1 0.125 0.125 0.375 1
```

Energies, relative to the best one, in meV/atom: model w 0; model x 287.